Entry 1:
Here is Ba2PHPd after structural relaxation from Alexandria via LeMat-Bulk. Energies are from PBE.

Cell and atoms, written as POSCAR:
```
Ba2PHPd
1.0
5.689 0.000 0.000
0.000 5.689 0.000
0.000 0.000 3.768
Ba P H Pd
2 1 1 1
direct
0.000 0.500 0.000
0.500 0.000 0.000
0.000 0.000 0.500
0.500 0.500 0.000
0.500 0.500 0.500
```

DOS(E_F), states/eV/cell: 1.97
Final energy, eV per atom: -4.179
Space-group type: P4/mmm, No. 123
Spin magnetization, μB/f.u.: 0.00

***

Entry 2:
Here is CeUO5 after structural relaxation from Alexandria via LeMat-Bulk. Energies are from PBE.

Cell and atoms, written as POSCAR:
```
CeUO5
1.0
-2.080 3.375 4.183
2.080 -3.375 4.183
2.080 3.375 -4.183
Ce U O
1 1 5
direct
0.000 0.000 0.000
0.500 0.500 0.000
0.199 0.500 0.699
0.248 0.248 0.000
0.500 0.000 0.500
0.752 0.752 0.000
0.801 0.500 0.301
```

DOS(E_F), states/eV/cell: 0.00
Final energy, eV per atom: -9.167
Space-group type: Immm, No. 71
Spin magnetization, μB/f.u.: 0.00

***

The highest DOS(E_F) belongs to which entry?
Ba2PHPd

***

Number 1 is which compound?
Ba2PHPd

***

Copy entry 2 word for word.
Here is CeUO5 after structural relaxation from Alexandria via LeMat-Bulk. Energies are from PBE.

Cell and atoms, written as POSCAR:
```
CeUO5
1.0
-2.080 3.375 4.183
2.080 -3.375 4.183
2.080 3.375 -4.183
Ce U O
1 1 5
direct
0.000 0.000 0.000
0.500 0.500 0.000
0.199 0.500 0.699
0.248 0.248 0.000
0.500 0.000 0.500
0.752 0.752 0.000
0.801 0.500 0.301
```

DOS(E_F), states/eV/cell: 0.00
Final energy, eV per atom: -9.167
Space-group type: Immm, No. 71
Spin magnetization, μB/f.u.: 0.00